Density functional theory data (GGA-PBE) for a relaxed structure of Dy5Y4Tl.

- Total energy: -5.18 eV/atom
- E above lowest polymorph: 0 meV/atom
- Energy of formation from the pure elements: -5.0 kJ per mole of atoms

Cell lengths 3.573, 3.573, 24.402 Å; angles 90.00, 90.00, 90.00 degrees
Positions (direct):
Dy 0.000 0.000 0.000
Dy 0.000 0.000 0.206
Dy 0.000 0.000 0.413
Dy 0.000 0.000 0.587
Dy 0.000 0.000 0.794
Y 0.500 0.500 0.103
Y 0.500 0.500 0.310
Y 0.500 0.500 0.690
Y 0.500 0.500 0.897
Tl 0.500 0.500 0.500